#1
Entry from Alexandria: an optimized crystal structure of VTe2F (GGA+U).

```
VTe2F
1.0
-3.458 -3.470 -1.071
3.335 -3.620 0.957
-2.368 -3.628 7.665
Te V F
4 2 2
Direct
0.875 0.872 0.750
0.128 0.625 0.250
0.375 0.378 0.750
0.622 0.125 0.250
0.000 0.000 0.000
0.750 0.250 0.500
0.250 0.750 0.500
0.500 0.500 0.000
```

Output
Space-group type: No. 122
Theoretical density, g/cm3: 5.329
Fermi-level density of states, states/eV per cell: 4.46

=====

#2
Entry from Alexandria: an optimized crystal structure of VTe2F (GGA+U).

```
VTe2F
1.0
2.444 0.000 7.250
-1.222 2.116 7.250
-1.222 -2.116 7.250
F Te V
1 2 1
Direct
0.000 0.000 0.000
0.105 0.105 0.105
0.895 0.895 0.895
0.500 0.500 0.500
```

Output
Space-group type: No. 166
Theoretical density, g/cm3: 4.800
Fermi-level density of states, states/eV per cell: 0.94

=====

#3
Entry from Alexandria: an optimized crystal structure of VTe2F (GGA+U).

```
VTe2F
1.0
-6.679 6.678 3.248
-4.076 7.759 4.789
-4.642 8.666 1.760
Te F V
2 1 1
Direct
0.095 0.095 0.095
0.905 0.905 0.905
0.500 0.500 0.500
0.000 0.000 0.000
```

Output
Space-group type: No. 166
Theoretical density, g/cm3: 6.160
Fermi-level density of states, states/eV per cell: 2.98

=====

Most stable: #2 (next structure +350 meV per atom)